Record 1
MgTl2Bi (PBE-GGA, relaxed); formation energy from the elements = 0.041 eV/atom; magnetization = 0.00 μB per atom
1.0
3.995 0.000 0.000
0.000 3.995 0.000
0.000 0.000 7.209
Mg Tl Bi
1 2 1
Cartesian
1.997 1.997 0.000 Mg
0.000 0.000 5.508 Tl
0.000 0.000 1.701 Tl
1.997 1.997 3.605 Bi

Record 2
HoNiSn6 (PBE-GGA, relaxed); formation energy from the elements = -0.136 eV/atom; magnetization = 0.00 μB per atom
1.0
-2.397 -1.387 5.194
3.822 -4.313 -1.197
4.169 4.586 1.958
Ho Ni Sn
1 1 6
Cartesian
0.000 0.000 0.000 Ho
2.797 -0.557 2.977 Ni
2.942 1.762 2.056 Sn
0.196 -0.708 3.262 Sn
2.652 -2.876 3.898 Sn
2.918 0.760 5.240 Sn
5.398 -0.407 2.692 Sn
2.676 -1.874 0.714 Sn

Record 3
SbSO2 (PBE-GGA, relaxed); VASP energy = -4.20 eV/atom; magnetization = 0.00 μB per atom
1.0
0.000 2.954 2.954
2.954 0.000 2.954
2.954 2.954 0.000
Sb S O
1 1 2
Cartesian
2.954 2.954 2.954 Sb
0.000 0.000 0.000 S
1.477 1.477 1.477 O
4.431 4.431 4.431 O

Record 4
YBeOs2 (PBE-GGA, relaxed); formation energy from the elements = 0.376 eV/atom; magnetization = 0.00 μB per atom
1.0
-2.324 -7.115 -0.724
-1.127 -7.099 2.209
-4.084 -6.081 1.699
Y Be Os
1 1 2
Cartesian
-1.884 -5.074 0.796 Y
-5.652 -15.221 2.387 Be
-0.166 -0.446 0.070 Os
-3.602 -9.702 1.522 Os

Record 5
SrLiLa2 (PBE-GGA, relaxed); formation energy from the elements = 0.266 eV/atom; magnetization = 0.06 μB per atom
1.0
5.957 0.000 0.000
2.978 5.159 0.000
2.978 1.720 4.864
La Li Sr
2 1 1
Cartesian
0.000 0.000 0.000 La
2.978 1.720 1.216 La
5.957 3.439 2.432 Li
8.935 5.159 3.648 Sr

Record 6
RbCoAgP (PBE-GGA, relaxed); formation energy from the elements = -0.310 eV/atom; magnetization = 0.05 μB per atom
1.0
-2.333 2.362 1.877
0.332 -2.157 3.127
10.119 7.007 3.759
Rb Co Ag P
2 2 2 2
Cartesian
1.051 1.920 4.701 Rb
7.067 5.292 4.062 Rb
-1.667 1.232 2.190 Co
-0.334 -1.027 2.815 Co
4.726 2.476 4.694 Ag
3.393 4.736 4.069 Ag
7.728 6.544 7.181 P
0.391 0.668 1.582 P

Record 7
TbHgF4 (PBE-GGA, relaxed); VASP energy = -5.00 eV/atom; magnetization = 0.00 μB per atom
1.0
-0.810 2.493 6.191
-4.302 -5.114 -0.737
6.321 -2.128 -0.849
Tb Hg F
2 2 8
Cartesian
-3.828 -1.962 4.083 Tb
-1.540 -4.927 1.926 Tb
-1.379 -0.707 1.471 Hg
0.909 -3.672 -0.686 Hg
-0.107 -5.747 0.504 F
2.166 -1.861 3.418 F
-1.739 -1.353 3.961 F
-2.878 -4.901 0.105 F
2.512 -3.618 1.106 F
0.313 -4.689 3.198 F
-2.986 -3.926 3.349 F
-0.865 -3.027 1.100 F

Record 8
Li2CrCl (PBE-GGA, relaxed); VASP energy = -4.10 eV/atom; magnetization = 1.21 μB per atom
1.0
-0.162 2.678 -1.745
-2.972 0.516 1.068
2.534 3.611 5.307
Cl Cr Li
1 1 2
Cartesian
-0.933 2.500 0.989 Cl
0.334 4.305 3.642 Cr
0.088 0.126 0.185 Li
1.179 1.679 2.468 Li

Record 9
Na2ZrPb2 (PBE-GGA, relaxed); formation energy from the elements = 0.138 eV/atom; magnetization = 0.00 μB per atom
1.0
-4.635 -3.002 -6.643
-5.840 -3.182 5.513
-1.797 3.068 -0.133
Pb Na Zr
4 4 2
Cartesian
-6.280 -3.575 2.394 Pb
-7.771 -4.625 -1.708 Pb
-4.195 -2.609 -3.524 Pb
-2.704 -1.559 0.578 Pb
-5.117 -0.824 2.550 Na
-8.907 -3.127 0.618 Na
-7.155 -2.292 -3.813 Na
-3.365 0.011 -1.881 Na
0.000 0.000 0.000 Zr
-5.238 -3.092 -0.565 Zr

Record 10
Mg3CdBi (PBE-GGA, relaxed); formation energy from the elements = -0.085 eV/atom; magnetization = 0.00 μB per atom
1.0
-4.082 -1.480 -2.277
0.455 -5.524 2.774
-0.292 2.178 4.385
Mg Cd Bi
3 1 1
Cartesian
-1.751 -1.315 3.148 Mg
-1.524 -4.068 4.531 Mg
-2.902 -3.911 1.620 Mg
-0.084 -3.651 1.675 Cd
-3.129 -1.150 0.230 Bi

Record 11
K2TlHg (PBE-GGA, relaxed); formation energy from the elements = -0.063 eV/atom; magnetization = 0.00 μB per atom
1.0
-4.354 3.830 1.597
-2.417 3.683 -4.095
-5.637 -0.896 -1.895
K Tl Hg
2 1 1
Cartesian
-3.102 1.654 -1.098 K
-9.306 4.962 -3.295 K
-6.204 3.308 -2.196 Tl
0.000 0.000 0.000 Hg

Record 12
La3Dy12Sc (PBE-GGA, relaxed); formation energy from the elements = 0.037 eV/atom; magnetization = 0.00 μB per atom
1.0
-0.880 -2.298 4.408
0.498 -4.495 -2.243
19.743 0.176 4.032
La Dy Sc
3 12 1
Cartesian
4.885 0.043 0.998 La
9.871 0.088 2.016 La
14.858 0.132 3.035 La
-0.191 -3.396 1.082 Dy
4.646 -3.353 2.070 Dy
9.680 -3.308 3.099 Dy
14.715 -3.264 4.127 Dy
1.890 -1.128 2.680 Dy
6.921 -1.083 3.707 Dy
11.942 -1.039 4.733 Dy
16.973 -0.994 5.760 Dy
2.579 -2.227 -0.646 Dy
7.610 -2.182 0.382 Dy
12.631 -2.137 1.407 Dy
17.662 -2.092 2.435 Dy
0.000 0.000 0.000 Sc

Record 13
Cs2HfRhBr6 (PBE-GGA, relaxed); VASP energy = -4.03 eV/atom; magnetization = 0.10 μB per atom
1.0
-1.380 -7.239 -2.344
3.290 1.580 -6.818
5.789 -4.389 -2.610
Cs Rh Hf Br
2 1 1 6
Cartesian
2.682 -7.229 -4.767 Cs
5.017 -2.819 -7.004 Cs
0.955 -2.830 -4.581 Rh
0.000 0.000 0.000 Hf
3.429 -3.627 -3.572 Br
4.271 -6.420 -8.199 Br
0.465 -1.377 -2.229 Br
1.446 -4.282 -6.932 Br
-0.243 -5.093 -3.433 Br
2.154 -0.566 -5.729 Br

Record 14
Mg2Ga (PBE-GGA, relaxed); formation energy from the elements = 0.105 eV/atom; magnetization = 0.00 μB per atom
1.0
5.728 0.000 0.000
2.864 4.961 0.000
2.864 1.654 4.677
Mg Ga
4 2
Cartesian
4.296 4.134 2.923 Mg
5.728 1.654 2.923 Mg
7.160 4.134 2.923 Mg
5.728 3.307 0.585 Mg
0.000 0.000 0.000 Ga
2.864 1.654 1.169 Ga

Record 15
SrPbSCl2 (PBE-GGA, relaxed); VASP energy = -3.72 eV/atom; magnetization = 0.00 μB per atom
1.0
5.421 0.000 0.000
0.000 5.421 0.000
0.000 0.000 6.108
Pb Sr S Cl
1 1 1 2
Cartesian
2.711 2.711 3.054 Pb
0.000 0.000 0.000 Sr
0.000 0.000 3.054 S
0.000 2.711 0.000 Cl
2.711 0.000 0.000 Cl

Record 16
VIn4Rh5 (PBE-GGA, relaxed); formation energy from the elements = -0.381 eV/atom; magnetization = 0.13 μB per atom
1.0
3.170 0.000 0.000
0.000 3.170 0.000
0.000 0.000 16.298
V In Rh
1 4 5
Cartesian
0.000 0.000 0.000 V
0.000 0.000 3.124 In
0.000 0.000 6.468 In
0.000 0.000 9.829 In
0.000 0.000 13.174 In
1.585 1.585 1.403 Rh
1.585 1.585 4.789 Rh
1.585 1.585 8.149 Rh
1.585 1.585 11.509 Rh
1.585 1.585 14.895 Rh

Record 17
Ce2PaP (PBE-GGA, relaxed); formation energy from the elements = -0.491 eV/atom; magnetization = 0.00 μB per atom
1.0
-1.921 -2.725 -2.952
3.929 -0.675 -1.933
0.735 -3.438 2.696
P Pa Ce
1 1 2
Cartesian
-0.960 -1.363 -1.476 P
1.372 -3.419 -1.094 Pa
0.368 -1.719 1.348 Ce
1.964 -0.338 -0.966 Ce

Record 18
Zr2Si3Ni2 (PBE-GGA, relaxed); VASP energy = -7.23 eV/atom; magnetization = 0.00 μB per atom
1.0
3.775 0.000 -0.900
0.000 6.462 0.000
0.045 0.000 8.557
Zr Si Ni
4 6 4
Cartesian
0.597 1.616 2.505 Zr
3.223 4.847 5.153 Zr
3.620 1.616 6.816 Zr
0.201 4.847 0.842 Zr
0.860 4.847 3.605 Si
2.961 1.616 4.052 Si
2.139 2.826 0.605 Si
1.681 3.637 7.052 Si
1.681 6.057 7.052 Si
2.139 0.405 0.605 Si
2.635 6.111 2.687 Ni
1.185 0.352 4.970 Ni
1.185 2.879 4.970 Ni
2.635 3.583 2.687 Ni

Record 19
TeAs2Pb (PBE-GGA, relaxed); VASP energy = -3.68 eV/atom; magnetization = 0.00 μB per atom
1.0
-4.548 -1.413 -2.122
-2.978 -3.571 2.357
-4.481 1.420 2.254
Pb As Te
1 2 1
Cartesian
-6.004 -1.782 1.245 Pb
0.000 0.000 0.000 As
-3.002 -0.891 0.622 As
-9.006 -2.674 1.867 Te

Record 20
Ac2TbMgSe5 (PBE-GGA, relaxed); VASP energy = -5.34 eV/atom; magnetization = 0.00 μB per atom
1.0
4.254 0.000 0.000
-2.127 9.022 0.000
0.000 0.000 12.937
Ac Tb Mg Se
4 2 2 10
Cartesian
2.127 6.586 10.470 Ac
0.000 2.048 8.885 Ac
0.000 2.435 4.002 Ac
2.127 6.973 2.416 Ac
2.127 5.356 6.641 Tb
0.000 3.666 0.173 Tb
2.127 0.785 12.341 Mg
0.000 8.236 5.872 Mg
0.000 6.528 0.019 Se
2.127 3.330 11.130 Se
0.000 8.904 9.995 Se
0.000 5.186 8.611 Se
2.127 8.162 7.251 Se
2.127 2.494 6.488 Se
0.000 5.691 4.661 Se
2.127 0.118 3.526 Se
2.127 3.835 2.143 Se
0.000 0.860 0.782 Se